# GGA-PBE Er2TmTl2, optimized geometry
# **Magnetic moment**: 0.000 μB per atom
# **Energy above the lowest structure with this stoichiometry**: 0 meV/atom
# **E_tot**: -39.31 eV for the cell shown
# **DOS at the Fermi energy**: 7.15 states/eV per cell
data_Er2TmTl2
_cell_length_a 5.204
_cell_length_b 6.588
_cell_length_c 9.021
_cell_angle_alpha 103.17
_cell_angle_beta 90.01
_cell_angle_gamma 113.22
_symmetry_space_group_name_H-M 'P -1'
_symmetry_Int_Tables_number 2
_symmetry_space_group_name_Hall '-P 1'
loop_
_atom_site_label
_atom_site_type_symbol
_atom_site_fract_x
_atom_site_fract_y
_atom_site_fract_z
Er1 Er 0.065 0.131 0.355
Er2 Er 0.250 0.500 0.751
Tm1 Tm 0.433 0.868 0.144
Tl1 Tl 0.136 0.272 0.045
Tl2 Tl 0.365 0.728 0.453